This record from Alexandria via LeMat-Bulk describes a geometry-optimized TlMoPO6 structure. The functional is PBE with a Hubbard U.

```
TlMoPO6
1.0
4.971 0.000 0.000
-2.485 4.305 0.000
0.000 0.000 6.312
Tl Mo P O
1 1 1 6
Direct
0.000 0.000 0.000 Tl
0.667 0.333 0.500 Mo
0.333 0.667 0.500 P
0.032 0.404 0.660 O
0.032 0.628 0.340 O
0.372 0.404 0.340 O
0.372 0.968 0.660 O
0.596 0.628 0.660 O
0.596 0.968 0.340 O
```

Output
* symmetry: P312
* distance to the lowest polymorph of the same formula: 233 meV/atom
* raw total energy: -6.4710 eV/atom
* magnetic moment: 0.00 μB per cell